1.
A plane-wave DFT calculation with GGA-PBE was carried out for an optimized crystal structure of NpGa4Pt4. Values from VASP.

```
&SYSTEM
  ibrav = 0, nat = 18, ntyp = 3
/
ATOMIC_SPECIES
Np 237.00 Np.upf
Ga 69.72 Ga.upf
Pt 195.08 Pt.upf
CELL_PARAMETERS angstrom
6.044 0.000 0.000
0.000 6.044 0.000
0.000 0.000 8.772
ATOMIC_POSITIONS crystal
Np 0.250 0.750 0.250
Np 0.750 0.250 0.750
Ga 0.029 0.250 0.159
Ga 0.250 0.029 0.659
Ga 0.250 0.471 0.659
Ga 0.471 0.250 0.159
Ga 0.529 0.750 0.841
Ga 0.750 0.529 0.341
Ga 0.750 0.971 0.341
Ga 0.971 0.750 0.841
Pt 0.019 0.250 0.453
Pt 0.250 0.019 0.953
Pt 0.250 0.481 0.953
Pt 0.481 0.250 0.453
Pt 0.519 0.750 0.547
Pt 0.750 0.519 0.047
Pt 0.750 0.981 0.047
Pt 0.981 0.750 0.547
```

Calculated values
calculated formation energy	-505	meV per atom
final energy	-107.51	eV/cell
total moment	4.1	μB/f.u.


2.
A plane-wave DFT calculation with GGA-PBE was carried out for an optimized crystal structure of NpGa4Pt. Values from VASP.

```
&SYSTEM
  ibrav = 0, nat = 6, ntyp = 3
/
ATOMIC_SPECIES
Np 237.00 Np.upf
Ga 69.72 Ga.upf
Pt 195.08 Pt.upf
CELL_PARAMETERS angstrom
3.984 0.000 0.000
0.000 3.984 0.000
0.000 0.000 8.114
ATOMIC_POSITIONS crystal
Np 0.000 0.000 0.000
Ga 0.000 0.500 0.293
Ga 0.000 0.500 0.707
Ga 0.500 0.000 0.293
Ga 0.500 0.000 0.707
Pt 0.500 0.500 0.500
```

Calculated values
calculated formation energy	-88	meV per atom
final energy	-31.62	eV/cell
total moment	4.6	μB/f.u.


3.
A plane-wave DFT calculation with GGA-PBE was carried out for an optimized crystal structure of Np2GaPt. Values from VASP.

```
&SYSTEM
  ibrav = 0, nat = 4, ntyp = 3
/
ATOMIC_SPECIES
Np 237.00 Np.upf
Ga 69.72 Ga.upf
Pt 195.08 Pt.upf
CELL_PARAMETERS angstrom
3.693 0.000 0.000
0.000 3.693 0.000
0.000 0.000 4.994
ATOMIC_POSITIONS crystal
Np 0.000 0.500 0.000
Np 0.500 0.000 0.000
Ga 0.000 0.000 0.500
Pt 0.500 0.500 0.500
```

Calculated values
calculated formation energy	-256	meV per atom
final energy	-35.97	eV/cell
total moment	0.0	μB/f.u.


Copy entry 3 word for word.
A plane-wave DFT calculation with GGA-PBE was carried out for an optimized crystal structure of Np2GaPt. Values from VASP.

```
&SYSTEM
  ibrav = 0, nat = 4, ntyp = 3
/
ATOMIC_SPECIES
Np 237.00 Np.upf
Ga 69.72 Ga.upf
Pt 195.08 Pt.upf
CELL_PARAMETERS angstrom
3.693 0.000 0.000
0.000 3.693 0.000
0.000 0.000 4.994
ATOMIC_POSITIONS crystal
Np 0.000 0.500 0.000
Np 0.500 0.000 0.000
Ga 0.000 0.000 0.500
Pt 0.500 0.500 0.500
```

Calculated values
calculated formation energy	-256	meV per atom
final energy	-35.97	eV/cell
total moment	0.0	μB/f.u.


Which value of calculated formation energy does entry 3 give? -256 meV per atom


Copy entry 2 word for word.
A plane-wave DFT calculation with GGA-PBE was carried out for an optimized crystal structure of NpGa4Pt. Values from VASP.

```
&SYSTEM
  ibrav = 0, nat = 6, ntyp = 3
/
ATOMIC_SPECIES
Np 237.00 Np.upf
Ga 69.72 Ga.upf
Pt 195.08 Pt.upf
CELL_PARAMETERS angstrom
3.984 0.000 0.000
0.000 3.984 0.000
0.000 0.000 8.114
ATOMIC_POSITIONS crystal
Np 0.000 0.000 0.000
Ga 0.000 0.500 0.293
Ga 0.000 0.500 0.707
Ga 0.500 0.000 0.293
Ga 0.500 0.000 0.707
Pt 0.500 0.500 0.500
```

Calculated values
calculated formation energy	-88	meV per atom
final energy	-31.62	eV/cell
total moment	4.6	μB/f.u.


Number 2 is which compound? NpGa4Pt